## Hf4RePd3 (PBE-GGA)

Data for Hf4RePd3 after structural relaxation.

Summary:
DFT formation energy in meV/atom: -600
DFT total energy in eV/atom: -9.0798
DOS at the Fermi energy in states/eV/cell: 9.2

Cell lengths 3.2999, 3.2999, 13.3682 Å; angles 90.00, 90.00, 90.00 degrees
Fractional positions:
Hf  0.0000  0.0000  0.1182
Hf  0.0000  0.0000  0.3744
Hf  0.0000  0.0000  0.6256
Hf  0.0000  0.0000  0.8818
Re  0.5000  0.5000  0.0000
Pd  0.5000  0.5000  0.2474
Pd  0.5000  0.5000  0.5000
Pd  0.5000  0.5000  0.7526